[1]
Here is an optimized crystal structure of LiY2Mg from Alexandria. Energies are from GGA-PBEsol.

Cell: 3.7067 3.7067 7.4690 Å, 90.00 90.00 90.00°
With the nearest neighbours (Å) after each atom.
Space group P4/mmm (No. 123)
Unique sites:
1 Li 0.0000 0.0000 0.0000 [1 per cell]  8 Y 3.22
2 Y 0.5000 0.5000 0.2494 [2 per cell]  4 Li 3.22, 4 Mg 3.22
3 Mg 0.0000 0.0000 0.5000 [1 per cell]  8 Y 3.22

Values from the calculation:
**ΔH_f (0 K)**: 20 meV per atom
**D(E_F)**: 4.72 states/eV/cell
**VASP energy**: -4.31 eV/atom



[2]
Here is an optimized crystal structure of YZn2Ni from Alexandria. Energies are from GGA-PBEsol.

Cell: 4.1854 4.1854 13.5992 Å, 90.00 90.00 120.00°
With the nearest neighbours (Å) after each atom.
Space group R3m (No. 160, hexagonal axes)
Unique sites:
1 Y 0.0000 0.0000 0.0000 [3 per cell]  1 Ni 2.70, 4 Zn 2.81-2.97
2 Zn 0.0000 0.0000 0.2064 [3 per cell]  3 Zn 2.57, 3 Ni 2.61, 1 Y 2.81
3 Zn 0.0000 0.0000 0.4752 [3 per cell]  3 Ni 2.42, 3 Zn 2.57
4 Ni 0.0000 0.0000 0.8013 [3 per cell]  6 Zn 2.42-2.61, 1 Y 2.70

Values from the calculation:
**ΔH_f (0 K)**: -333 meV per atom
**D(E_F)**: 8.73 states/eV/cell
**VASP energy**: -4.37 eV/atom



[3]
Here is an optimized crystal structure of K2NaLaCl6 from Alexandria. Energies are from GGA-PBEsol.

Cell: 10.8012 10.8012 10.8012 Å, 90.00 90.00 90.00°
With the nearest neighbours (Å) after each atom.
Space group Fm-3m (No. 225)
Unique sites:
1 K 0.2500 0.2500 0.2500 [8 per cell]  12 Cl 3.82
2 Na 0.0000 0.0000 0.0000 [4 per cell]  6 Cl 2.68
3 La 0.0000 0.0000 0.5000 [4 per cell]  6 Cl 2.73
4 Cl 0.0000 0.0000 0.2477 [24 per cell]  1 Na 2.68, 1 La 2.73

Values from the calculation:
**D(E_F)**: 0.00 states/eV/cell
**ΔE_f (raw)**: -2.03 eV/atom
**VASP energy**: -4.14 eV/atom



[4]
Here is an optimized crystal structure of K3NaH4 from Alexandria. Energies are from GGA-PBEsol.

Cell: 5.3949 5.3949 5.3949 Å, 90.00 90.00 90.00°
With the nearest neighbours (Å) after each atom.
Space group Pm-3m (No. 221)
Unique sites:
1 K 0.0000 0.0000 0.5000 [3 per cell]  6 H 2.70
2 Na 0.5000 0.5000 0.5000 [1 per cell]  6 H 2.70
3 H 0.0000 0.0000 0.0000 [1 per cell]  6 K 2.70
4 H 0.0000 0.5000 0.5000 [3 per cell]  2 Na 2.70, 4 K 2.70

Values from the calculation:
**D(E_F)**: 0.00 states/eV/cell
**VASP energy**: -2.41 eV/atom